Entry 1:
The following is a DFT calculation (PBE) of an optimized crystal structure of LiAl2Cd.

a = 9.3803 Å, b = 9.3803 Å, c = 9.3803 Å
α = 18.69°, β = 18.69°, γ = 18.69°
Atoms (fractional coordinates):
Li  0.0000  0.0000  0.0000
Al  0.2534  0.2534  0.2534
Al  0.7466  0.7466  0.7466
Cd  0.5000  0.5000  0.5000

- V: 18.511 Å³ per atom
- Symmetry: R-3m, No. 166
- Energy of formation: 0.012 eV/atom
- M_tot: 0.0 μB per formula unit



Entry 2:
The following is a DFT calculation (PBE) of an optimized crystal structure of NpNi4Ir2.

a = 5.6680 Å, b = 5.6680 Å, c = 5.6680 Å
α = 101.61°, β = 101.61°, γ = 126.70°
Atoms (fractional coordinates):
Np  0.0000  0.0000  0.0000
Ni  0.2828  0.5000  0.7828
Ni  0.5000  0.2828  0.7828
Ni  0.5000  0.7172  0.2172
Ni  0.7172  0.5000  0.2172
Ir  0.2500  0.7500  0.5000
Ir  0.7500  0.2500  0.5000

- V: 18.641 Å³ per atom
- Symmetry: I4/mmm, No. 139
- Energy of formation: 0.615 eV/atom
- M_tot: 1.0 μB per formula unit



Entry 3:
The following is a DFT calculation (PBE) of an optimized crystal structure of MgFe2BiH.

a = 5.0254 Å, b = 5.0254 Å, c = 5.5597 Å
α = 90.00°, β = 90.00°, γ = 90.00°
Atoms (fractional coordinates):
Mg  0.0000  0.0000  0.0000
Fe  0.0000  0.5000  0.5000
Fe  0.5000  0.0000  0.5000
Bi  0.0000  0.0000  0.5000
H  0.5000  0.5000  0.0000

- V: 28.082 Å³ per atom
- Symmetry: P4/mmm, No. 123
- M_tot: 6.0 μB per formula unit
- E_tot: -3.62 eV/atom



Entry 4:
The following is a DFT calculation (PBE) of an optimized crystal structure of Cr3BSe.

a = 4.0479 Å, b = 4.0479 Å, c = 4.0479 Å
α = 90.00°, β = 90.00°, γ = 90.00°
Atoms (fractional coordinates):
Cr  0.0000  0.0000  0.5000
Cr  0.0000  0.5000  0.0000
Cr  0.5000  0.0000  0.0000
B  0.0000  0.0000  0.0000
Se  0.5000  0.5000  0.5000

- V: 13.266 Å³ per atom
- Symmetry: Pm-3m, No. 221
- M_tot: 6.9 μB per formula unit
- E_tot: -7.42 eV/atom



Entry 5:
The following is a DFT calculation (PBE) of an optimized crystal structure of BeRu.

a = 5.6725 Å, b = 5.2118 Å, c = 4.5725 Å
α = 70.52°, β = 60.02°, γ = 49.46°
Atoms (fractional coordinates):
Be  0.0628  0.6872  0.6872
Be  0.3128  0.9372  0.9372
Be  0.6872  0.0628  0.0628
Be  0.9372  0.3128  0.3128
Ru  0.1602  0.5898  0.1602
Ru  0.4102  0.8398  0.4102
Ru  0.5898  0.1602  0.5898
Ru  0.8398  0.4102  0.8398

- V: 11.122 Å³ per atom
- Symmetry: Fddd, No. 70
- Energy of formation: 0.050 eV/atom
- M_tot: 0.0 μB per formula unit



Entry 6:
The following is a DFT calculation (PBE) of an optimized crystal structure of MnNbPd2.

a = 2.8985 Å, b = 2.8985 Å, c = 7.5276 Å
α = 90.00°, β = 90.00°, γ = 90.00°
Atoms (fractional coordinates):
Mn  0.0000  0.0000  0.0000
Nb  0.0000  0.0000  0.5000
Pd  0.5000  0.5000  0.2368
Pd  0.5000  0.5000  0.7632

- V: 15.810 Å³ per atom
- Symmetry: P4/mmm, No. 123
- Energy of formation: -0.236 eV/atom
- M_tot: 4.5 μB per formula unit



Entry 7:
The following is a DFT calculation (PBE) of an optimized crystal structure of Pm2Nd3Ga4.

a = 8.2403 Å, b = 8.2417 Å, c = 7.5558 Å
α = 90.00°, β = 105.74°, γ = 90.00°
Atoms (fractional coordinates):
Pm  0.1870  0.1866  0.0726
Pm  0.1870  0.3134  0.5726
Pm  0.8130  0.6866  0.4274
Pm  0.8130  0.8134  0.9274
Nd  0.2354  0.6754  0.2528
Nd  0.2354  0.8246  0.7528
Nd  0.5000  0.0000  0.5000
Nd  0.5000  0.5000  0.0000
Nd  0.7646  0.1754  0.2472
Nd  0.7646  0.3246  0.7472
Ga  0.0799  0.5284  0.8656
Ga  0.0799  0.9716  0.3656
Ga  0.4850  0.1236  0.8842
Ga  0.4850  0.3764  0.3842
Ga  0.5150  0.6236  0.6158
Ga  0.5150  0.8764  0.1158
Ga  0.9201  0.0284  0.6344
Ga  0.9201  0.4716  0.1344

- V: 27.438 Å³ per atom
- Symmetry: P2_1/c, No. 14
- Energy of formation: -0.515 eV/atom
- M_tot: 0.0 μB per formula unit



Entry 8:
The following is a DFT calculation (PBE) of an optimized crystal structure of Pm2PaPd5.

a = 6.0960 Å, b = 6.0960 Å, c = 6.0960 Å
α = 113.85°, β = 113.85°, γ = 101.04°
Atoms (fractional coordinates):
Pm  0.0000  0.5000  0.5000
Pm  0.5000  0.0000  0.5000
Pa  0.3212  0.3212  0.0000
Pd  0.5223  0.5223  0.5702
Pd  0.5223  0.9521  0.0000
Pd  0.9521  0.5223  0.0000
Pd  0.9521  0.9521  0.4298
Pd  0.9842  0.9842  0.0000

- V: 21.451 Å³ per atom
- Symmetry: I4mm, No. 107
- Energy of formation: -0.635 eV/atom
- M_tot: 0.0 μB per formula unit



> What is the V in the fifth record?

11.122 Å³ per atom



What did the seventh record say?
The following is a DFT calculation (PBE) of an optimized crystal structure of Pm2Nd3Ga4.

a = 8.2403 Å, b = 8.2417 Å, c = 7.5558 Å
α = 90.00°, β = 105.74°, γ = 90.00°
Atoms (fractional coordinates):
Pm  0.1870  0.1866  0.0726
Pm  0.1870  0.3134  0.5726
Pm  0.8130  0.6866  0.4274
Pm  0.8130  0.8134  0.9274
Nd  0.2354  0.6754  0.2528
Nd  0.2354  0.8246  0.7528
Nd  0.5000  0.0000  0.5000
Nd  0.5000  0.5000  0.0000
Nd  0.7646  0.1754  0.2472
Nd  0.7646  0.3246  0.7472
Ga  0.0799  0.5284  0.8656
Ga  0.0799  0.9716  0.3656
Ga  0.4850  0.1236  0.8842
Ga  0.4850  0.3764  0.3842
Ga  0.5150  0.6236  0.6158
Ga  0.5150  0.8764  0.1158
Ga  0.9201  0.0284  0.6344
Ga  0.9201  0.4716  0.1344

- V: 27.438 Å³ per atom
- Symmetry: P2_1/c, No. 14
- Energy of formation: -0.515 eV/atom
- M_tot: 0.0 μB per formula unit